The following is a PBE-GGA calculation of a relaxed Cs3KIn2Cl9 crystal, from Alexandria.

Calculated values
ΔE_f (raw)	-1.58	eV per atom
magnetization	0.00	μB per atom

Unit cell a=7.7665 b=7.7665 c=9.7396 alpha=90.00 beta=90.00 gamma=120.00
Space group P-3m1 (No. 164)
Inequivalent atoms, fractional coordinates:
1 Cs 0.0000 0.0000 0.0000
2 Cs 0.3333 0.6667 0.6757
3 K 0.0000 0.0000 0.5000
4 In 0.3333 0.6667 0.1599
5 Cl 0.0000 0.5000 0.0000
6 Cl 0.1758 0.3517 0.3086